Entry 1:
A relaxed Ta2CuIrBr crystal. Source: Alexandria, functional PBE.

a b c (Å): 4.6886 4.6886 4.3027
angles (deg): 90.00 90.00 90.00
With the nearest neighbours (Å) after each atom.
Space group P4/mmm (No. 123)
Unique sites:
Ta1 0.0000 0.5000 0.0000 x2  2 Br 2.34
Cu1 0.0000 0.0000 0.5000 x1  2 Br 2.15
Ir1 0.5000 0.5000 0.5000 x1  8 Ta 3.18, 4 Cu 3.32
Br1 0.0000 0.0000 0.0000 x1  2 Cu 2.15, 4 Ta 2.34

Summary:
- total DFT energy (no corrections) (eV/cell) = -30.78
- magnetization (μB/f.u.) = 0.0
- ΔE_f (raw) (eV per atom) = 1.51



Entry 2:
A relaxed Zr3BiIr crystal. Source: Alexandria, functional PBE.

a b c (Å): 5.0983 5.0983 5.0983
angles (deg): 90.00 90.00 90.00
With the nearest neighbours (Å) after each atom.
Space group Pm-3m (No. 221)
Unique sites:
Zr1 0.0000 0.0000 0.5000 x3  2 Ir 2.55
Bi1 0.5000 0.5000 0.5000 x1  12 Zr 3.61
Ir1 0.0000 0.0000 0.0000 x1  6 Zr 2.55

Summary:
- energy of formation from the pure elements (eV per formula unit) = -0.45
- total DFT energy (no corrections) (eV/cell) = -38.84
- magnetization (μB/f.u.) = 0.0



Entry 3:
A relaxed Pu4As8Pd3 crystal. Source: Alexandria, functional PBE.

a b c (Å): 4.0068 4.0068 18.9796
angles (deg): 90.00 90.00 90.00
With the nearest neighbours (Å) after each atom.
Space group P-4m2 (No. 115)
Unique sites:
Pu1 0.0000 0.5000 0.1241 x2  8 As 2.95-3.04, 2 Pd 3.09
Pu2 0.0000 0.5000 0.6347 x2  8 As 2.94-3.04, 4 Pd 3.25
As1 0.0000 0.0000 0.2445 x2  4 As 2.83, 4 Pu 3.04
As2 0.0000 0.5000 0.4074 x2  4 Pd 2.66, 4 Pu 2.94
As3 0.0000 0.5000 0.9186 x2  2 Pd 2.53
As4 0.5000 0.5000 0.2446 x2  4 As 2.83, 4 Pu 3.04
Pd1 0.0000 0.0000 0.0000 x1  4 As 2.53
Pd2 0.0000 0.0000 0.5000 x1  4 As 2.66, 4 Pd 2.83
Pd3 0.5000 0.5000 0.5000 x1  4 As 2.66, 4 Pd 2.83

Summary:
- energy of formation from the pure elements (eV per formula unit) = -10.37
- total DFT energy (no corrections) (eV/cell) = -120.47
- magnetization (μB/f.u.) = 0.3



Entry 4:
A relaxed GaMoBr crystal. Source: Alexandria, functional PBE.

a b c (Å): 20.5063 4.0259 3.3440
angles (deg): 90.00 97.28 90.00
With the nearest neighbours (Å) after each atom.
Space group Cm (No. 8)
Unique sites:
Ga1 0.0000 0.0000 0.0000 x2  4 Mo 2.60-2.71, 1 Ga 2.67
Ga2 0.1137 0.0000 0.6917 x2  6 Mo 2.60-2.78, 1 Ga 2.67
Mo1 0.0218 0.5000 0.4930 x2  1 Br 2.56, 6 Ga 2.60-2.78, 1 Mo 2.61
Mo2 0.1369 0.5000 0.2403 x2  2 Br 2.58-2.68, 4 Ga 2.60-2.72, 1 Mo 2.61
Br1 0.2368 0.5000 0.7955 x2  2 Mo 2.58-2.68
Br2 0.3961 0.0000 0.4230 x2  1 Mo 2.56

Summary:
- total DFT energy (no corrections) (eV/cell) = -62.86
- magnetization (μB/f.u.) = 0.0
- ΔE_f (raw) (eV per atom) = -0.06



Entry 5:
A relaxed NbSeN2 crystal. Source: Alexandria, functional PBE.

a b c (Å): 5.3890 5.3890 9.2298
angles (deg): 90.00 90.00 90.00
With the nearest neighbours (Å) after each atom.
Space group I-42d (No. 122)
Unique sites:
Nb1 0.0000 0.0000 0.0000 x4  4 N 1.96
Se1 0.0000 0.0000 0.5000 x4  4 N 2.57
N1 0.1550 0.2500 0.1250 x8  2 Nb 1.96

Summary:
- total DFT energy (no corrections) (eV/cell) = -115.57
- magnetization (μB/f.u.) = 0.0
- ΔE_f (raw) (eV per atom) = 0.33



Entry 6:
A relaxed Tl3SbS4 crystal. Source: Alexandria, functional PBE.

a b c (Å): 6.4183 6.6704 12.0833
angles (deg): 95.02 98.71 105.36
With the nearest neighbours (Å) after each atom.
Space group P-1 (No. 2)
Unique sites:
Tl1 0.0406 0.0666 0.2912 x2  5 S 3.16-3.47
Tl2 0.2654 0.7569 0.0199 x2  4 S 3.09-3.41
Tl3 0.2986 0.7455 0.4766 x2  5 S 3.09-3.44
Sb1 0.4193 0.4886 0.7502 x2  4 S 2.36-2.39
S1 0.2116 0.5257 0.2295 x2  1 Sb 2.37
S2 0.2302 0.3177 0.5664 x2  1 Sb 2.39
S3 0.2609 0.3097 0.8918 x2  1 Sb 2.37
S4 0.4205 0.8441 0.7666 x2  1 Sb 2.36

Summary:
- total DFT energy (no corrections) (eV/cell) = -60.23
- magnetization (μB/f.u.) = 0.0
- ΔE_f (raw) (eV per atom) = -0.30



Entry 7:
A relaxed ZnRuBr2 crystal. Source: Alexandria, functional PBE.

a b c (Å): 5.0194 13.0868 3.7674
angles (deg): 90.00 90.00 90.00
With the nearest neighbours (Å) after each atom.
Space group Cmmm (No. 65)
Unique sites:
Zn1 0.0000 0.0000 0.0000 x2  2 Ru 2.51
Ru1 0.0000 0.5000 0.0000 x2  4 Br 2.50, 2 Zn 2.51
Br1 0.0000 0.3747 0.5000 x4  2 Ru 2.50

Summary:
- total DFT energy (no corrections) (eV/cell) = -27.50
- magnetization (μB/f.u.) = 0.9
- ΔE_f (raw) (eV per atom) = 0.04



Entry 8:
A relaxed CsPaSb3 crystal. Source: Alexandria, functional PBE.

a b c (Å): 5.9794 5.9794 5.9794
angles (deg): 90.00 90.00 90.00
With the nearest neighbours (Å) after each atom.
Space group Pm-3m (No. 221)
Unique sites:
Cs1 0.0000 0.0000 0.0000 x1  12 Sb 4.23
Pa1 0.5000 0.5000 0.5000 x1  6 Sb 2.99
Sb1 0.0000 0.5000 0.5000 x3  2 Pa 2.99

Summary:
- total DFT energy (no corrections) (eV/cell) = -23.34
- magnetization (μB/f.u.) = 0.1
- ΔE_f (raw) (eV per atom) = -0.13



Entry 9:
A relaxed Cu2MoRh crystal. Source: Alexandria, functional PBE.

a b c (Å): 2.6961 3.9976 5.0614
angles (deg): 90.00 90.15 90.00
With the nearest neighbours (Å) after each atom.
Space group P2/m (No. 10)
Unique sites:
Cu1 0.0000 0.0000 0.2505 x2  4 Cu 2.53-2.70, 4 Rh 2.72, 4 Mo 2.72-2.73
Mo1 0.5000 0.5000 0.0000 x1  2 Rh 2.53, 2 Mo 2.70, 8 Cu 2.72-2.73
Rh1 0.5000 0.5000 0.5000 x1  2 Mo 2.53, 2 Rh 2.70, 8 Cu 2.72

Summary:
- energy of formation from the pure elements (eV per formula unit) = 0.59
- total DFT energy (no corrections) (eV/cell) = -25.78
- magnetization (μB/f.u.) = 0.0



Entry 10:
A relaxed ZnCd5Hg5 crystal. Source: Alexandria, functional PBE.

a b c (Å): 12.8991 5.7278 7.7738
angles (deg): 90.00 105.61 90.00
With the nearest neighbours (Å) after each atom.
Space group C2/m (No. 12)
Unique sites:
Zn1 0.0000 0.0000 0.0000 x2  6 Hg 2.70-2.86
Cd1 0.0000 0.0000 0.5000 x2  4 Hg 3.17-3.21, 4 Cd 3.28
Cd2 0.0861 0.5000 0.6902 x4  2 Hg 2.91-3.03, 3 Cd 2.99-3.18
Cd3 0.1650 0.5000 0.3617 x4  5 Hg 2.94-3.04, 2 Cd 2.99-3.15
Hg1 0.0000 0.5000 0.0000 x2  2 Zn 2.86, 4 Cd 2.91-3.04
Hg2 0.1755 0.0000 0.2825 x4  1 Zn 2.70, 3 Cd 2.94-2.97
Hg3 0.1853 0.0000 0.8707 x4  1 Zn 2.83, 1 Cd 2.98

Summary:
- energy of formation from the pure elements (eV per formula unit) = 0.70
- total DFT energy (no corrections) (eV/cell) = -13.33
- magnetization (μB/f.u.) = 0.0



Entry 11:
A relaxed Zn2OsSe crystal. Source: Alexandria, functional PBE.

a b c (Å): 9.1659 3.2092 4.4497
angles (deg): 90.00 108.59 90.00
With the nearest neighbours (Å) after each atom.
Space group C2/m (No. 12)
Unique sites:
Zn1 0.2457 0.0000 0.2324 x4  4 Zn 2.64-2.85, 3 Os 2.69-2.84, 3 Se 2.77-2.86
Os1 0.0000 0.5000 0.0000 x2  6 Zn 2.69-2.84, 4 Se 2.74
Se1 0.0000 0.0000 0.5000 x2  4 Os 2.74, 6 Zn 2.77-2.86

Summary:
- total DFT energy (no corrections) (eV/cell) = -31.14
- magnetization (μB/f.u.) = 0.0
- ΔE_f (raw) (eV per atom) = 0.42



Entry 12:
A relaxed LaNd6Y4 crystal. Source: Alexandria, functional PBE.

a b c (Å): 6.5939 6.5939 17.7779
angles (deg): 90.00 90.00 90.00
With the nearest neighbours (Å) after each atom.
Space group I-42m (No. 121)
Unique sites:
La1 0.0000 0.0000 0.0000 x2  4 Nd 3.30, 4 Y 3.65
Nd1 0.0000 0.5000 0.0000 x4  2 La 3.30, 4 Nd 3.37
Nd2 0.1794 0.1794 0.3683 x8  5 Y 3.34-3.57, 3 Nd 3.34-3.37
Y1 0.1870 0.1870 0.1806 x8  5 Nd 3.34-3.57, 1 Y 3.49, 1 La 3.65

Summary:
- energy of formation from the pure elements (eV per formula unit) = 3.14
- total DFT energy (no corrections) (eV/cell) = -112.51
- magnetization (μB/f.u.) = 0.0